[1]
Entry from Alexandria via LeMat-Bulk: a relaxed structure of NpFeHgO6 (GGA+U).

a = 4.9801 Å, b = 4.9801 Å, c = 9.8022 Å
α = 90.00°, β = 90.00°, γ = 90.00°
Last column: nearest neighbours and their distance in Å.
Fractional positions:
1 O 0.2864 0.2864 0.3119  1 Np 2.03, 1 Fe 2.07
2 O 0.2861 0.2861 0.6903  1 Fe 2.03, 1 Np 2.04
3 O 0.6762 0.6762 0.9991  1 Fe 2.06, 1 Np 2.06, 1 Hg 2.28
4 O 0.2139 0.7861 0.1903  1 Fe 2.03, 1 Np 2.04
5 O 0.1762 0.8238 0.4991  1 Fe 2.06, 1 Np 2.06, 1 Hg 2.28
6 Hg 0.0000 0.0000 0.9998  6 O 2.28-2.40
7 O 0.7139 0.7139 0.6903  1 Fe 2.03, 1 Np 2.04
8 O 0.7864 0.2136 0.8119  1 Np 2.03, 1 Fe 2.07
9 O 0.7136 0.7136 0.3119  1 Np 2.03, 1 Fe 2.07
10 O 0.7861 0.2139 0.1903  1 Fe 2.03, 1 Np 2.04
11 Hg 0.5000 0.5000 0.4998  6 O 2.28-2.40
12 Fe 0.5000 0.5000 0.1665  6 O 2.03-2.07
13 O 0.2136 0.7864 0.8119  1 Np 2.03, 1 Fe 2.07
14 O 0.3238 0.3238 0.9991  1 Fe 2.06, 1 Np 2.06, 1 Hg 2.28
15 Fe 0.0000 0.0000 0.6665  6 O 2.03-2.07
16 O 0.8238 0.1762 0.4991  1 Fe 2.06, 1 Np 2.06, 1 Hg 2.28
17 Np 0.0000 0.0000 0.3311  6 O 2.03-2.06
18 Np 0.5000 0.5000 0.8311  6 O 2.03-2.06

[2]
Entry from Alexandria via LeMat-Bulk: a relaxed structure of NpFeHg2O6 (GGA+U).

a = 5.6904 Å, b = 5.7402 Å, c = 8.2126 Å
α = 90.00°, β = 91.03°, γ = 90.00°
Last column: nearest neighbours and their distance in Å.
Fractional positions:
1 Np 0.0000 0.5000 0.0000  6 O 2.06-2.18
2 Hg 0.9993 0.9650 0.2488  4 O 2.33-2.44
3 O 0.0962 0.4487 0.7465  1 Fe 2.11, 1 Np 2.18, 1 Hg 2.35
4 O 0.8184 0.8004 0.9437  1 Np 2.06, 1 Fe 2.20
5 Fe 0.5000 0.0000 0.0000  6 O 2.11-2.20
6 O 0.3002 0.6884 0.0509  1 Np 2.06, 1 Fe 2.16
7 Fe 0.0000 0.5000 0.5000  6 O 2.11-2.20
8 O 0.4038 0.9487 0.7535  1 Fe 2.11, 1 Np 2.18, 1 Hg 2.35
9 Hg 0.0007 0.0350 0.7512  4 O 2.33-2.44
10 O 0.3184 0.6996 0.4437  1 Np 2.06, 1 Fe 2.20
11 Hg 0.5007 0.4650 0.2512  4 O 2.33-2.44
12 O 0.5962 0.0513 0.2465  1 Fe 2.11, 1 Np 2.18, 1 Hg 2.35
13 O 0.6998 0.3116 0.9491  1 Np 2.06, 1 Fe 2.16
14 O 0.6816 0.3004 0.5563  1 Np 2.06, 1 Fe 2.20
15 O 0.9038 0.5513 0.2535  1 Fe 2.11, 1 Np 2.18, 1 Hg 2.35
16 O 0.1816 0.1996 0.0563  1 Np 2.06, 1 Fe 2.20
17 O 0.1998 0.1884 0.4491  1 Np 2.06, 1 Fe 2.16
18 O 0.8002 0.8116 0.5509  1 Np 2.06, 1 Fe 2.16
19 Hg 0.4993 0.5350 0.7488  4 O 2.33-2.44
20 Np 0.5000 0.0000 0.5000  6 O 2.06-2.18

Results
DOS(E_F) = 0.369 states/eV per atom

[3]
Entry from Alexandria via LeMat-Bulk: a relaxed structure of FeHg3O (GGA+U).

a = 4.7855 Å, b = 4.7855 Å, c = 4.7855 Å
α = 90.00°, β = 90.00°, γ = 90.00°
Last column: nearest neighbours and their distance in Å.
Fractional positions:
1 Hg 0.0000 0.0000 0.5000  2 O 2.39
2 Fe 0.5000 0.5000 0.5000  12 Hg 3.38
3 O 0.0000 0.0000 0.0000  6 Hg 2.39
4 Hg 0.0000 0.5000 0.0000  2 O 2.39
5 Hg 0.5000 0.0000 0.0000  2 O 2.39

Results
Excess energy over the best structure of this formula in the dataset = 39 meV per atom
DOS(E_F) = 1.755 states/eV per atom

[4]
Entry from Alexandria via LeMat-Bulk: a relaxed structure of Fe2HgO4 (GGA+U).

a = 6.3038 Å, b = 6.3025 Å, c = 6.3042 Å
α = 60.00°, β = 120.02°, γ = 119.99°
Last column: nearest neighbours and their distance in Å.
Fractional positions:
1 O 0.2304 0.6915 0.2695  3 Fe 2.07, 1 Hg 2.23
2 O 0.7695 0.7306 0.7304  3 Fe 2.07, 1 Hg 2.23
3 Fe 0.5000 0.5000 0.5000  6 O 2.07
4 O 0.7696 0.3085 0.7305  3 Fe 2.07, 1 Hg 2.23
5 O 0.2306 0.2695 0.6915  3 Fe 2.07, 1 Hg 2.23
6 Fe 0.0000 0.5000 0.0000  6 O 2.07
7 Fe 0.0000 0.0000 0.5000  6 O 2.07
8 O 0.1915 0.7304 0.7306  3 Fe 2.07, 1 Hg 2.23
9 O 0.7694 0.7305 0.3085  3 Fe 2.07, 1 Hg 2.23
10 Fe 0.0000 0.5001 0.5000  6 O 2.07
11 Hg 0.3750 0.1250 0.1250  4 O 2.23
12 O 0.2305 0.2694 0.2696  3 Fe 2.07, 1 Hg 2.23
13 Hg 0.6250 0.8750 0.8750  4 O 2.23
14 O 0.8085 0.2695 0.2694  3 Fe 2.07, 1 Hg 2.23

[5]
Entry from Alexandria via LeMat-Bulk: a relaxed structure of FeHg3O (GGA+U).

a = 5.1787 Å, b = 5.1787 Å, c = 5.1787 Å
α = 90.00°, β = 90.00°, γ = 90.00°
Last column: nearest neighbours and their distance in Å.
Fractional positions:
1 Hg 0.5000 0.0000 0.0000  2 Fe 2.59
2 Hg 0.0000 0.5000 0.0000  2 Fe 2.59
3 O 0.5000 0.5000 0.5000  12 Hg 3.66
4 Hg 0.0000 0.0000 0.5000  2 Fe 2.59
5 Fe 0.0000 0.0000 0.0000  6 Hg 2.59

Results
Excess energy over the best structure of this formula in the dataset = 0 meV per atom
DOS(E_F) = 2.575 states/eV per atom

[6]
Entry from Alexandria via LeMat-Bulk: a relaxed structure of Fe5Hg3O12 (GGA+U).

a = 11.0303 Å, b = 11.0303 Å, c = 11.0303 Å
α = 109.47°, β = 109.47°, γ = 109.47°
Last column: nearest neighbours and their distance in Å.
Fractional positions:
1 O 0.8938 0.0685 0.8807  2 Fe 1.88-1.97
2 O 0.3254 0.8123 0.4315  2 Fe 1.88-1.97
3 O 0.1193 0.6877 0.5131  2 Fe 1.88-1.97
4 Hg 0.8750 0.1250 0.2500  4 O 2.40
5 Hg 0.1250 0.8750 0.7500  4 O 2.40
6 Fe 0.8750 0.2500 0.6250  4 O 1.88
7 O 0.6877 0.5685 0.1746  2 Fe 1.88-1.97
8 Fe 0.5000 0.5000 0.0000  6 O 1.97
9 O 0.5685 0.6877 0.6746  2 Fe 1.88-1.97
10 Fe 0.5000 0.0000 0.5000  6 O 1.97
11 Fe 0.0000 0.5000 0.0000  6 O 1.97
12 Hg 0.6250 0.3750 0.7500  4 O 2.40
13 O 0.1877 0.6746 0.0685  2 Fe 1.88-1.97
14 Fe 0.7500 0.6250 0.3750  4 O 1.88
15 O 0.1062 0.1746 0.4869  2 Fe 1.88-1.97
16 O 0.5131 0.3254 0.8938  2 Fe 1.88-1.97
17 O 0.6877 0.1193 0.0131  2 Fe 1.88-1.97
18 O 0.6062 0.6193 0.4315  2 Fe 1.88-1.97
19 O 0.3123 0.4315 0.8254  2 Fe 1.88-1.97
20 O 0.6193 0.6062 0.9315  2 Fe 1.88-1.97
21 Fe 0.3750 0.1250 0.7500  4 O 1.88
22 O 0.1193 0.4315 0.1062  2 Fe 1.88-1.97
23 O 0.5131 0.1877 0.1193  2 Fe 1.88-1.97
24 O 0.9315 0.8254 0.8123  2 Fe 1.88-1.97
25 Fe 0.1250 0.7500 0.3750  4 O 1.88
26 Hg 0.3750 0.7500 0.6250  4 O 2.40
27 Hg 0.2500 0.6250 0.8750  4 O 2.40
28 O 0.9315 0.1062 0.6193  2 Fe 1.88-1.97
29 O 0.8807 0.3123 0.4869  2 Fe 1.88-1.97
30 O 0.9869 0.3807 0.3123  2 Fe 1.88-1.97
31 O 0.3938 0.0131 0.3254  2 Fe 1.88-1.97
32 Fe 0.1250 0.3750 0.2500  4 O 1.88
33 Fe 0.3750 0.2500 0.1250  4 O 1.88
34 O 0.4315 0.1193 0.6062  2 Fe 1.88-1.97
35 O 0.6746 0.1877 0.5685  2 Fe 1.88-1.97
36 Hg 0.7500 0.3750 0.1250  4 O 2.40
37 O 0.6062 0.9869 0.6746  2 Fe 1.88-1.97
38 O 0.9869 0.6062 0.1746  2 Fe 1.88-1.97
39 O 0.1877 0.5131 0.6193  2 Fe 1.88-1.97
40 O 0.3938 0.3807 0.5685  2 Fe 1.88-1.97
41 O 0.4869 0.8123 0.8807  2 Fe 1.88-1.97
42 O 0.8123 0.3254 0.9315  2 Fe 1.88-1.97
43 O 0.8123 0.4869 0.3807  2 Fe 1.88-1.97
44 Hg 0.7500 0.8750 0.6250  4 O 2.40
45 Fe 0.2500 0.8750 0.1250  4 O 1.88
46 Fe 0.5000 0.0000 0.0000  6 O 1.97
47 Hg 0.2500 0.1250 0.3750  4 O 2.40
48 O 0.1746 0.0685 0.6877  2 Fe 1.88-1.97
49 Fe 0.7500 0.1250 0.8750  4 O 1.88
50 O 0.6746 0.4869 0.6062  2 Fe 1.88-1.97
51 Fe 0.0000 0.5000 0.5000  6 O 1.97
52 O 0.1062 0.9315 0.1193  2 Fe 1.88-1.97
53 O 0.1746 0.1062 0.9869  2 Fe 1.88-1.97
54 Hg 0.6250 0.2500 0.3750  4 O 2.40
55 O 0.0685 0.1746 0.1877  2 Fe 1.88-1.97
56 Fe 0.0000 0.0000 0.5000  6 O 1.97
57 Fe 0.0000 0.0000 0.0000  6 O 1.97
58 Fe 0.6250 0.7500 0.8750  4 O 1.88
59 Hg 0.1250 0.2500 0.8750  4 O 2.40
60 O 0.3123 0.8807 0.9869  2 Fe 1.88-1.97
61 O 0.8938 0.8254 0.5131  2 Fe 1.88-1.97
62 Fe 0.2500 0.3750 0.6250  4 O 1.88
63 Fe 0.5000 0.5000 0.5000  6 O 1.97
64 O 0.3807 0.3938 0.0685  2 Fe 1.88-1.97
65 O 0.8254 0.9315 0.3123  2 Fe 1.88-1.97
66 O 0.3254 0.5131 0.3938  2 Fe 1.88-1.97
67 O 0.4315 0.3123 0.3254  2 Fe 1.88-1.97
68 Fe 0.8750 0.6250 0.7500  4 O 1.88
69 O 0.6193 0.0131 0.1877  2 Fe 1.88-1.97
70 O 0.0131 0.3938 0.8254  2 Fe 1.88-1.97
71 Hg 0.8750 0.7500 0.1250  4 O 2.40
72 O 0.4869 0.6746 0.1062  2 Fe 1.88-1.97
73 O 0.5685 0.8807 0.3938  2 Fe 1.88-1.97
74 O 0.0685 0.8938 0.3807  2 Fe 1.88-1.97
75 Fe 0.6250 0.8750 0.2500  4 O 1.88
76 Hg 0.3750 0.6250 0.2500  4 O 2.40
77 O 0.0131 0.6193 0.6877  2 Fe 1.88-1.97
78 O 0.3807 0.9869 0.8123  2 Fe 1.88-1.97
79 O 0.8807 0.5685 0.8938  2 Fe 1.88-1.97
80 O 0.8254 0.8938 0.0131  2 Fe 1.88-1.97

Results
DOS(E_F) = 0.312 states/eV per atom

Sequential VASP energy output: -126.8 -126.9 -7.3 -78.5 -7.5 -419.3 eV/cell